Record 1
An optimized crystal structure of DyTm2C2, computed with GGA-PBE.

Values from the calculation:
As for the space group: No. 12.

```
data_DyTm2C2
_chemical_formula_sum 'Dy2 Tm4 C4'
_space_group_name_H-M_alt 'P 1'
_space_group_IT_number 1
_space_group_name_Hall 'P 1'
_cell_length_a 4.9862
_cell_length_b 6.2035
_cell_length_c 8.0192
_cell_angle_alpha 59.85
_cell_angle_beta 71.89
_cell_angle_gamma 66.30
loop_
_atom_site_label
_atom_site_type_symbol
_atom_site_fract_x
_atom_site_fract_y
_atom_site_fract_z
Dy1 Dy 0.3437 0.2161 0.0966
Dy2 Dy 0.6563 0.7839 0.9034
Tm1 Tm 0.6614 0.2424 0.4348
Tm2 Tm 0.3386 0.7576 0.5652
Tm3 Tm 0.0064 0.7124 0.2748
Tm4 Tm 0.9936 0.2876 0.7252
C1 C 0.1669 0.2499 0.4164
C2 C 0.8331 0.7501 0.5836
C3 C 0.4964 0.2449 0.7622
C4 C 0.5036 0.7551 0.2378
```


Record 2
An optimized crystal structure of LaNdHg4, computed with GGA-PBE.

Values from the calculation:
As for the space group: No. 25.

```
data_LaNdHg4
_chemical_formula_sum 'La1 Nd1 Hg4'
_space_group_name_H-M_alt 'P 1'
_space_group_IT_number 1
_space_group_name_Hall 'P 1'
_cell_length_a 4.6309
_cell_length_b 4.6515
_cell_length_c 8.8317
_cell_angle_alpha 89.96
_cell_angle_beta 89.97
_cell_angle_gamma 90.00
loop_
_atom_site_label
_atom_site_type_symbol
_atom_site_fract_x
_atom_site_fract_y
_atom_site_fract_z
La1 La 0.5017 0.4965 0.9981
Nd1 Nd 0.0009 0.9981 0.4982
Hg1 Hg 0.5013 0.9965 0.2531
Hg2 Hg 0.5009 0.9971 0.7432
Hg3 Hg 0.0017 0.4976 0.7420
Hg4 Hg 0.0013 0.4980 0.2543
```


| no. | formation enthalpy at 0 K (eV/f.u.) |
| --- | --- |
| 1 | -1.33 |
| 2 | -1.32 |